# Co3WO

An optimized crystal structure of Co3WO (PBE with a Hubbard U, Alexandria via LeMat-Bulk).

Lattice parameters (Å, degrees): 3.972 3.972 3.972 90.00 90.00 90.00
Element x y z (fractional)
Co: 0.000 0.000 0.500
Co: 0.000 0.500 0.000
Co: 0.500 0.000 0.000
W: 0.500 0.500 0.500
O: 0.000 0.000 0.000

Polymorph energy (0 for the lowest one) ... 0 meV/atom
SG ... Pm-3m
ρ ... 9.98 g cm⁻³
Electronic total energy ... -4.911 eV/atom
Crystal system ... cubic
Magnetic moment ... 6.73 μB per formula unit